VASP calculation (PBE) on a geometry-optimized NdSm3Ho3 structure.

Results
- Offset from the most stable computed form: 0.184 eV per atom
- Energy of formation from the pure elements: 0.20 eV per atom

abc: 8.875 8.875 8.875
angles: 58.72 58.72 58.72
Sites, in units of the cell vectors:
Sm  0.567  0.068  0.722
Sm  0.433  0.932  0.278
Sm  0.932  0.278  0.433
Sm  0.722  0.567  0.068
Sm  0.278  0.433  0.932
Sm  0.068  0.722  0.567
Nd  0.347  0.347  0.347
Nd  0.653  0.653  0.653
Ho  0.063  0.285  0.827
Ho  0.285  0.827  0.063
Ho  0.827  0.063  0.285
Ho  0.937  0.715  0.173
Ho  0.715  0.173  0.937
Ho  0.173  0.937  0.715